# 1
Entry from Alexandria: NiIr2Rh after structural relaxation (PBEsol).

uncorrected energy: -33.9 eV for the cell shown
energy of formation from the pure elements: 0.02 eV/atom

```
data_NiIr2Rh
_cell_length_a 2.6851
_cell_length_b 2.6851
_cell_length_c 7.2509
_cell_angle_alpha 90.00
_cell_angle_beta 90.00
_cell_angle_gamma 90.00
_space_group_name_H-M_alt 'P 4 m m'
_space_group_IT_number 99
_space_group_name_Hall 'P 4 -2'
loop_
_atom_site_label
_atom_site_fract_x
_atom_site_fract_y
_atom_site_fract_z
Ni1 0.0000 0.0000 0.0000
Ir1 0.0000 0.0000 0.5009
Ir2 0.5000 0.5000 0.7616
Rh1 0.5000 0.5000 0.2406
```


# 2
Entry from Alexandria: BaIn2PdO after structural relaxation (PBEsol).

E_form (uncorrected): 1.354 eV per atom
uncorrected energy: -12.6 eV for the cell shown

```
data_BaIn2PdO
_cell_length_a 6.5639
_cell_length_b 6.5639
_cell_length_c 5.2509
_cell_angle_alpha 90.00
_cell_angle_beta 90.00
_cell_angle_gamma 90.00
_space_group_name_H-M_alt 'P 4/m m m'
_space_group_IT_number 123
_space_group_name_Hall '-P 4 2'
loop_
_atom_site_label
_atom_site_fract_x
_atom_site_fract_y
_atom_site_fract_z
Ba1 0.0000 0.0000 0.0000
In1 0.0000 0.5000 0.0000
Pd1 0.0000 0.0000 0.5000
O1 0.5000 0.5000 0.5000
```


# 3
Entry from Alexandria: Sr2BeW after structural relaxation (PBEsol).

uncorrected energy: -18.7 eV for the cell shown
energy of formation from the pure elements: 0.71 eV/atom

```
data_Sr2BeW
_cell_length_a 3.3518
_cell_length_b 3.3518
_cell_length_c 8.8954
_cell_angle_alpha 90.00
_cell_angle_beta 90.00
_cell_angle_gamma 90.00
_space_group_name_H-M_alt 'P 4 m m'
_space_group_IT_number 99
_space_group_name_Hall 'P 4 -2'
loop_
_atom_site_label
_atom_site_fract_x
_atom_site_fract_y
_atom_site_fract_z
Sr1 0.0000 0.0000 0.0000
Sr2 0.5000 0.5000 0.4070
Be1 0.5000 0.5000 0.7296
W1 0.0000 0.0000 0.6688
```


# 4
Entry from Alexandria: Cu2SiPt after structural relaxation (PBEsol).

E_form (uncorrected): -0.252 eV per atom
uncorrected energy: -22.4 eV for the cell shown

```
data_Cu2SiPt
_cell_length_a 2.7284
_cell_length_b 3.8475
_cell_length_c 5.0140
_cell_angle_alpha 90.00
_cell_angle_beta 105.24
_cell_angle_gamma 90.00
_space_group_name_H-M_alt 'P 1 m 1'
_space_group_IT_number 6
_space_group_name_Hall 'P -2y'
loop_
_atom_site_label
_atom_site_fract_x
_atom_site_fract_y
_atom_site_fract_z
Cu1 0.0000 0.0000 0.0000
Cu2 0.4067 0.5000 0.8127
Si1 0.2648 0.0000 0.5252
Pt1 0.6748 0.5000 0.3357
```


# 5
Entry from Alexandria: ZrNiBi2Sb after structural relaxation (PBEsol).

E_form (uncorrected): 0.943 eV per atom
uncorrected energy: -23.7 eV for the cell shown

```
data_ZrNiBi2Sb
_cell_length_a 5.5343
_cell_length_b 5.5343
_cell_length_c 5.3963
_cell_angle_alpha 90.00
_cell_angle_beta 90.00
_cell_angle_gamma 90.00
_space_group_name_H-M_alt 'P 4/m m m'
_space_group_IT_number 123
_space_group_name_Hall '-P 4 2'
loop_
_atom_site_label
_atom_site_fract_x
_atom_site_fract_y
_atom_site_fract_z
Zr1 0.0000 0.0000 0.0000
Ni1 0.5000 0.5000 0.5000
Bi1 0.0000 0.5000 0.0000
Sb1 0.0000 0.0000 0.5000
```


# 6
Entry from Alexandria: Cs2KAs2 after structural relaxation (PBEsol).

uncorrected energy: -29.5 eV for the cell shown
energy of formation from the pure elements: -0.30 eV/atom

```
data_Cs2KAs2
_cell_length_a 8.3676
_cell_length_b 8.3676
_cell_length_c 5.5920
_cell_angle_alpha 90.00
_cell_angle_beta 90.00
_cell_angle_gamma 90.00
_space_group_name_H-M_alt 'P 4/m b m'
_space_group_IT_number 127
_space_group_name_Hall '-P 4 2ab'
loop_
_atom_site_label
_atom_site_fract_x
_atom_site_fract_y
_atom_site_fract_z
Cs1 0.1696 0.3304 0.0000
K1 0.0000 0.0000 0.5000
As1 0.1016 0.6016 0.5000
```


# 7
Entry from Alexandria: Re2PRh after structural relaxation (PBEsol).

uncorrected energy: -79.9 eV for the cell shown
energy of formation from the pure elements: 0.16 eV/atom

```
data_Re2PRh
_cell_length_a 3.7844
_cell_length_b 3.7844
_cell_length_c 7.5565
_cell_angle_alpha 90.00
_cell_angle_beta 90.00
_cell_angle_gamma 90.00
_space_group_name_H-M_alt 'I -4 m 2'
_space_group_IT_number 119
_space_group_name_Hall 'I -4 -2'
loop_
_atom_site_label
_atom_site_fract_x
_atom_site_fract_y
_atom_site_fract_z
Re1 0.0000 0.0000 0.0000
Re2 0.0000 0.5000 0.2500
P1 0.0000 0.5000 0.7500
Rh1 0.0000 0.0000 0.5000
```


# 8
Entry from Alexandria: CrAsSeF2 after structural relaxation (PBEsol).

E_form (uncorrected): -1.163 eV per atom
uncorrected energy: -28.9 eV for the cell shown

```
data_CrAsSeF2
_cell_length_a 3.8018
_cell_length_b 3.8018
_cell_length_c 5.5968
_cell_angle_alpha 90.00
_cell_angle_beta 90.00
_cell_angle_gamma 90.00
_space_group_name_H-M_alt 'P 4/m m m'
_space_group_IT_number 123
_space_group_name_Hall '-P 4 2'
loop_
_atom_site_label
_atom_site_fract_x
_atom_site_fract_y
_atom_site_fract_z
Cr1 0.0000 0.0000 0.0000
As1 0.5000 0.5000 0.5000
Se1 0.0000 0.0000 0.5000
F1 0.0000 0.5000 0.0000
```


# 9
Entry from Alexandria: ZrBF2 after structural relaxation (PBEsol).

E_form (uncorrected): -0.952 eV per atom
uncorrected energy: -71.3 eV for the cell shown

```
data_ZrBF2
_cell_length_a 2.8376
_cell_length_b 2.8376
_cell_length_c 23.4943
_cell_angle_alpha 90.00
_cell_angle_beta 90.00
_cell_angle_gamma 120.00
_space_group_name_H-M_alt 'R -3 m'
_space_group_IT_number 166
_space_group_name_Hall '-R 3 2"'
loop_
_atom_site_label
_atom_site_fract_x
_atom_site_fract_y
_atom_site_fract_z
Zr1 0.0000 0.0000 0.0000
B1 0.0000 0.0000 0.5000
F1 0.0000 0.0000 0.3987
```


# 10
Entry from Alexandria: RhSe after structural relaxation (PBEsol).

E_form (uncorrected): -0.045 eV per atom
uncorrected energy: -36.2 eV for the cell shown

```
data_RhSe
_cell_length_a 3.1115
_cell_length_b 3.1115
_cell_length_c 11.1682
_cell_angle_alpha 90.00
_cell_angle_beta 90.00
_cell_angle_gamma 120.00
_space_group_name_H-M_alt 'R -3 m'
_space_group_IT_number 166
_space_group_name_Hall '-R 3 2"'
loop_
_atom_site_label
_atom_site_fract_x
_atom_site_fract_y
_atom_site_fract_z
Rh1 0.0000 0.0000 0.0000
Se1 0.0000 0.0000 0.5000
```


# 11
Entry from Alexandria: In4Ag5 after structural relaxation (PBEsol).

uncorrected energy: -57.2 eV for the cell shown
energy of formation from the pure elements: -0.01 eV/atom

```
data_In4Ag5
_cell_length_a 9.0529
_cell_length_b 9.0529
_cell_length_c 4.2175
_cell_angle_alpha 90.00
_cell_angle_beta 90.00
_cell_angle_gamma 90.00
_space_group_name_H-M_alt 'I 4/m m m'
_space_group_IT_number 139
_space_group_name_Hall '-I 4 2'
loop_
_atom_site_label
_atom_site_fract_x
_atom_site_fract_y
_atom_site_fract_z
In1 0.0000 0.3189 0.0000
Ag1 0.0000 0.0000 0.0000
Ag2 0.1641 0.1641 0.5000
```


# 12
Entry from Alexandria: Be2Si2I after structural relaxation (PBEsol).

E_form (uncorrected): 0.780 eV per atom
uncorrected energy: -34.7 eV for the cell shown

```
data_Be2Si2I
_cell_length_a 7.8779
_cell_length_b 7.8779
_cell_length_c 2.6790
_cell_angle_alpha 90.00
_cell_angle_beta 90.00
_cell_angle_gamma 90.00
_space_group_name_H-M_alt 'P 4/m b m'
_space_group_IT_number 127
_space_group_name_Hall '-P 4 2ab'
loop_
_atom_site_label
_atom_site_fract_x
_atom_site_fract_y
_atom_site_fract_z
Be1 0.1384 0.3616 0.0000
Si1 0.1314 0.6314 0.5000
I1 0.0000 0.0000 0.5000
```


# 13
Entry from Alexandria: ZnHgTe2 after structural relaxation (PBEsol).

E_form (uncorrected): -0.261 eV per atom
uncorrected energy: -10.2 eV for the cell shown

```
data_ZnHgTe2
_cell_length_a 4.4315
_cell_length_b 4.4315
_cell_length_c 6.3107
_cell_angle_alpha 90.00
_cell_angle_beta 90.00
_cell_angle_gamma 90.00
_space_group_name_H-M_alt 'P -4 m 2'
_space_group_IT_number 115
_space_group_name_Hall 'P -4 -2'
loop_
_atom_site_label
_atom_site_fract_x
_atom_site_fract_y
_atom_site_fract_z
Zn1 0.0000 0.0000 0.0000
Hg1 0.5000 0.5000 0.5000
Te1 0.0000 0.5000 0.2286
```


# 14
Entry from Alexandria: ScHgBr after structural relaxation (PBEsol).

E_form (uncorrected): 0.031 eV per atom
energy above the most stable polymorph in this dataset: 0.7157 eV/atom
uncorrected energy: -35.8 eV for the cell shown

```
data_ScHgBr
_cell_length_a 6.8962
_cell_length_b 6.8962
_cell_length_c 6.8962
_cell_angle_alpha 90.00
_cell_angle_beta 90.00
_cell_angle_gamma 90.00
_space_group_name_H-M_alt 'F -4 3 m'
_space_group_IT_number 216
_space_group_name_Hall 'F -4 2 3'
loop_
_atom_site_label
_atom_site_fract_x
_atom_site_fract_y
_atom_site_fract_z
Sc1 0.0000 0.0000 0.0000
Hg1 0.2500 0.2500 0.2500
Br1 0.0000 0.0000 0.5000
```


# 15
Entry from Alexandria: ScCd2Cu2 after structural relaxation (PBEsol).

uncorrected energy: -35.5 eV for the cell shown
energy of formation from the pure elements: -0.02 eV/atom

```
data_ScCd2Cu2
_cell_length_a 3.8877
_cell_length_b 3.8877
_cell_length_c 11.8657
_cell_angle_alpha 90.00
_cell_angle_beta 90.00
_cell_angle_gamma 90.00
_space_group_name_H-M_alt 'I 4/m m m'
_space_group_IT_number 139
_space_group_name_Hall '-I 4 2'
loop_
_atom_site_label
_atom_site_fract_x
_atom_site_fract_y
_atom_site_fract_z
Sc1 0.0000 0.0000 0.0000
Cd1 0.0000 0.5000 0.2500
Cu1 0.0000 0.0000 0.4045
```


# 16
Entry from Alexandria: CdPbSe2 after structural relaxation (PBEsol).

E_form (uncorrected): -0.298 eV per atom
uncorrected energy: -14.1 eV for the cell shown

```
data_CdPbSe2
_cell_length_a 3.8442
_cell_length_b 3.7115
_cell_length_c 7.3132
_cell_angle_alpha 90.00
_cell_angle_beta 104.76
_cell_angle_gamma 90.00
_space_group_name_H-M_alt 'P 1 2/m 1'
_space_group_IT_number 10
_space_group_name_Hall '-P 2y'
loop_
_atom_site_label
_atom_site_fract_x
_atom_site_fract_y
_atom_site_fract_z
Cd1 0.0000 0.0000 0.0000
Pb1 0.5000 0.0000 0.5000
Se1 0.1070 0.5000 0.7517
```


# 17
Entry from Alexandria: LiPr2Os after structural relaxation (PBEsol).

uncorrected energy: -98.5 eV for the cell shown
energy of formation from the pure elements: -0.02 eV/atom

```
data_LiPr2Os
_cell_length_a 7.1060
_cell_length_b 7.1060
_cell_length_c 7.1060
_cell_angle_alpha 90.00
_cell_angle_beta 90.00
_cell_angle_gamma 90.00
_space_group_name_H-M_alt 'F m -3 m'
_space_group_IT_number 225
_space_group_name_Hall '-F 4 2 3'
loop_
_atom_site_label
_atom_site_fract_x
_atom_site_fract_y
_atom_site_fract_z
Li1 0.0000 0.0000 0.0000
Pr1 0.2500 0.2500 0.2500
Os1 0.0000 0.0000 0.5000
```


# 18
Entry from Alexandria: BaHg3C after structural relaxation (PBEsol).

uncorrected energy: -10.6 eV for the cell shown
energy of formation from the pure elements: 0.58 eV/atom

```
data_BaHg3C
_cell_length_a 4.9478
_cell_length_b 4.9478
_cell_length_c 4.9478
_cell_angle_alpha 90.00
_cell_angle_beta 90.00
_cell_angle_gamma 90.00
_space_group_name_H-M_alt 'P m -3 m'
_space_group_IT_number 221
_space_group_name_Hall '-P 4 2 3'
loop_
_atom_site_label
_atom_site_fract_x
_atom_site_fract_y
_atom_site_fract_z
Ba1 0.0000 0.0000 0.0000
Hg1 0.0000 0.5000 0.5000
C1 0.5000 0.5000 0.5000
```


# 19
Entry from Alexandria: ScZn4Pt after structural relaxation (PBEsol).

uncorrected energy: -89.7 eV for the cell shown
energy of formation from the pure elements: -0.42 eV/atom

```
data_ScZn4Pt
_cell_length_a 7.0387
_cell_length_b 7.0387
_cell_length_c 7.0387
_cell_angle_alpha 90.00
_cell_angle_beta 90.00
_cell_angle_gamma 90.00
_space_group_name_H-M_alt 'F -4 3 m'
_space_group_IT_number 216
_space_group_name_Hall 'F -4 2 3'
loop_
_atom_site_label
_atom_site_fract_x
_atom_site_fract_y
_atom_site_fract_z
Sc1 0.0000 0.0000 0.0000
Zn1 0.1248 0.1248 0.6248
Pt1 0.2500 0.2500 0.2500
```


# 20
Entry from Alexandria: KRb2DyCl6 after structural relaxation (PBEsol).

E_form (uncorrected): -2.083 eV per atom
uncorrected energy: -164.1 eV for the cell shown

```
data_KRb2DyCl6
_cell_length_a 11.0282
_cell_length_b 11.0282
_cell_length_c 11.0282
_cell_angle_alpha 90.00
_cell_angle_beta 90.00
_cell_angle_gamma 90.00
_space_group_name_H-M_alt 'F m -3 m'
_space_group_IT_number 225
_space_group_name_Hall '-F 4 2 3'
loop_
_atom_site_label
_atom_site_fract_x
_atom_site_fract_y
_atom_site_fract_z
K1 0.0000 0.0000 0.0000
Rb1 0.2500 0.2500 0.2500
Dy1 0.0000 0.0000 0.5000
Cl1 0.0000 0.0000 0.2646
```


In states/eV per cell, the density of states at the Fermi level values for the records above are, in order, 5.36 7.51 4.72 1.68 10.93 11.63 6.42 2.43 3.20 6.65 6.18 5.78 0.11 11.65 5.63 1.50 8.64 2.60 23.00 0.00.